Record 1
Compound: Tc2Rh
Source: Alexandria via LeMat-Bulk
Functional: PBE
Structure: optimized geometry

Formation energy from the elements in eV per atom: 0.954
DOS at the Fermi energy in states/eV per cell: 4.7
Symmetry: P4/mmm
Offset from the most stable computed form in eV per atom: 1.073

```
Tc2Rh
1.0
4.459 0.000 0.000
0.000 4.459 0.000
0.000 0.000 2.638
Tc Rh
2 1
Cartesian
0.000 2.229 1.319
2.229 0.000 1.319
0.000 0.000 0.000
```


Record 2
Compound: TmCoGeRh
Source: Alexandria via LeMat-Bulk
Functional: PBE
Structure: optimized geometry

Formation energy from the elements in eV per atom: -0.518
DOS at the Fermi energy in states/eV per cell: 1.7
Symmetry: F-43m

```
TmCoGeRh
1.0
-3.816 2.207 0.630
-3.869 -1.856 -1.194
-2.872 -1.363 3.119
Rh Ge Tm Co
1 1 1 1
Cartesian
-7.918 -0.758 1.916
0.000 0.000 0.000
-5.279 -0.506 1.278
-2.639 -0.253 0.639
```


Record 3
Compound: CaTa2Fe
Source: Alexandria via LeMat-Bulk
Functional: PBE
Structure: optimized geometry

Formation energy from the elements in eV per atom: 0.770
DOS at the Fermi energy in states/eV per cell: 6.0
Symmetry: I4/mmm
Offset from the most stable computed form in eV per atom: 0.465

```
CaTa2Fe
1.0
-2.428 -4.548 -2.180
3.055 -4.585 -0.987
-0.882 3.631 4.167
Ta Ca Fe
2 1 1
Cartesian
0.000 0.000 0.000
0.314 -4.566 -1.583
1.243 -2.760 0.799
-1.498 -2.741 0.202
```


Record 4
Compound: Tb3Ga2Au6
Source: Alexandria via LeMat-Bulk
Functional: PBE
Structure: optimized geometry

Formation energy from the elements in eV per atom: -0.544
DOS at the Fermi energy in states/eV per cell: 6.9
Symmetry: I4/mmm

```
Tb3Ga2Au6
1.0
-2.745 -2.162 1.940
-1.182 -1.607 -3.463
11.958 -9.240 2.511
Au Tb Ga
6 3 2
Cartesian
0.156 -2.782 1.238
5.517 -6.141 0.966
0.937 -2.505 -1.464
2.513 -6.867 0.022
7.875 -10.226 -0.249
7.093 -10.503 2.452
3.536 -3.936 0.619
4.494 -9.072 0.369
0.000 0.000 0.000
7.293 -8.117 1.277
0.738 -4.891 -0.289
```